# 1
{
  "formula": "YIrPt",
  "functional": "PBE-GGA",
  "state": "optimized geometry",
  "formation_energy_mev_per_atom": -4.1,
  "total_energy_ev_per_atom": -7.126,
  "de_polymorph_mev_per_atom": 913,
  "magnetic_moment_mub_per_cell": 0.0,
  "vol_a3_per_fu": 66.1,
  "lattice": [[4.539, 0.000, 0.000], [2.269, 3.931, 0.000], [2.269, 1.310, 3.706]],
  "species": ["Ir", "Pt", "Y"],
  "frac_coords": [[0.000, 0.000, 0.000], [0.500, 0.500, 0.500], [0.750, 0.750, 0.750]]
}

---

# 2
{
  "formula": "Y2IrPt",
  "functional": "PBE-GGA",
  "state": "optimized geometry",
  "formation_energy_mev_per_atom": -1009.8,
  "total_energy_ev_per_atom": -7.967,
  "magnetic_moment_mub_per_cell": 0.0,
  "vol_a3_per_fu": 83.5,
  "lattice": [[3.465, 0.000, 0.000], [0.000, 3.464, 0.000], [0.000, 0.000, 6.957]],
  "species": ["Y", "Y", "Ir", "Pt"],
  "frac_coords": [[0.000, 0.000, 0.008], [0.000, 0.000, 0.492], [0.500, 0.500, 0.250], [0.500, 0.500, 0.750]]
}

---

# 3
{
  "formula": "Y2IrPt",
  "functional": "PBE-GGA",
  "state": "optimized geometry",
  "formation_energy_mev_per_atom": -598.1,
  "total_energy_ev_per_atom": -7.556,
  "magnetic_moment_mub_per_cell": 0.0,
  "vol_a3_per_fu": 107.2,
  "lattice": [[-3.741, 4.837, 3.535], [-2.734, 1.661, 6.297], [0.210, 4.671, 5.294]],
  "species": ["Ir", "Pt", "Y", "Y"],
  "frac_coords": [[0.458, 0.458, 0.458], [0.792, 0.792, 0.792], [0.036, 0.036, 0.036], [0.215, 0.215, 0.215]]
}